# 1
Compound: LiCa2Cd
Source: Alexandria via LeMat-Bulk
Functional: meta-GGA SCAN
Structure: single point on PBEsol structure

Summary:
- magnetization (μB per formula unit) = 0.154
- energy relative to the elements (eV per atom) = -0.229
- distance to the lowest polymorph of the same formula (meV/atom) = 12

Cell: 3.827 3.827 7.822 Å, 90.00 90.00 90.00°
Space group P4/mmm (No. 123)
One atom of each set of equivalent atoms:
Li: 0.000 0.000 0.000
Ca: 0.500 0.500 0.266
Cd: 0.000 0.000 0.500

=====

# 2
Compound: KPt2Se
Source: Alexandria via LeMat-Bulk
Functional: meta-GGA SCAN
Structure: single point on PBEsol structure

Summary:
- formation energy without anion corrections (eV/f.u.) = 0.3
- magnetization (μB per formula unit) = 0.000

Cell: 2.771 5.047 10.526 Å, 90.00 90.00 90.00°
Space group Immm (No. 71)
One atom of each set of equivalent atoms:
K: 0.000 0.000 0.000
Pt: 0.000 0.500 0.225
Se: 0.000 0.000 0.500

=====

# 3
Compound: CrRu2Se
Source: Alexandria via LeMat-Bulk
Functional: meta-GGA SCAN
Structure: single point on PBEsol structure

Summary:
- formation energy without anion corrections (eV/f.u.) = 1.3
- magnetization (μB per formula unit) = 0.007

Cell: 2.7834 2.7834 24.2451 Å, 90.00 90.00 120.00°
Space group R-3m (No. 166, hexagonal axes)
One atom of each set of equivalent atoms:
Cr: 0.0000 0.0000 0.0000
Ru: 0.0000 0.0000 0.2524
Se: 0.0000 0.0000 0.5000

=====

# 4
Compound: SiAs3Cl
Source: Alexandria via LeMat-Bulk
Functional: meta-GGA SCAN
Structure: single point on PBEsol structure

Summary:
- formation energy without anion corrections (eV/f.u.) = 7.0
- magnetization (μB per formula unit) = 0.000

Cell: 4.799 4.799 4.799 Å, 90.00 90.00 90.00°
Space group Pm-3m (No. 221)
One atom of each set of equivalent atoms:
Si: 0.000 0.000 0.000
As: 0.000 0.500 0.500
Cl: 0.500 0.500 0.500

=====

# 5
Compound: LiTl3Pt
Source: Alexandria via LeMat-Bulk
Functional: meta-GGA SCAN
Structure: single point on PBEsol structure

Summary:
- magnetization (μB per formula unit) = 0.000
- energy relative to the elements (eV per atom) = 0.049

Cell: 5.286 5.286 5.286 Å, 90.00 90.00 90.00°
Space group Pm-3m (No. 221)
One atom of each set of equivalent atoms:
Li: 0.000 0.000 0.000
Tl: 0.000 0.500 0.500
Pt: 0.500 0.500 0.500

=====

# 6
Compound: Si3BW
Source: Alexandria via LeMat-Bulk
Functional: meta-GGA SCAN
Structure: single point on PBEsol structure

Summary:
- formation energy without anion corrections (eV/f.u.) = 5.7
- magnetization (μB per formula unit) = 0.000
- distance to the lowest polymorph of the same formula (meV/atom) = 0

Cell: 4.021 4.021 4.021 Å, 90.00 90.00 90.00°
Space group Pm-3m (No. 221)
One atom of each set of equivalent atoms:
Si: 0.000 0.000 0.500
B: 0.000 0.000 0.000
W: 0.500 0.500 0.500

=====

# 7
Compound: SrTc2As
Source: Alexandria via LeMat-Bulk
Functional: meta-GGA SCAN
Structure: single point on PBEsol structure

Summary:
- magnetization (μB per formula unit) = 0.002
- energy relative to the elements (eV per atom) = 0.588

Cell: 3.1606 3.1606 25.3787 Å, 90.00 90.00 120.00°
Space group R-3m (No. 166, hexagonal axes)
One atom of each set of equivalent atoms:
Sr: 0.0000 0.0000 0.0000
Tc: 0.0000 0.0000 0.2326
As: 0.0000 0.0000 0.5000

=====

# 8
Compound: Zn3P5
Source: Alexandria via LeMat-Bulk
Functional: meta-GGA SCAN
Structure: single point on PBEsol structure

Summary:
- magnetization (μB per formula unit) = 0.000
- energy relative to the elements (eV per atom) = 0.484

Cell: 7.110 7.144 4.744 Å, 90.00 90.00 90.00°
Space group Cmmm (No. 65)
One atom of each set of equivalent atoms:
Zn: 0.000 0.000 0.000
Zn: 0.176 0.000 0.500
P: 0.000 0.347 0.500
P: 0.000 0.500 0.000
P: 0.250 0.250 0.000

=====

# 9
Compound: ThGaPt
Source: Alexandria via LeMat-Bulk
Functional: meta-GGA SCAN
Structure: single point on PBEsol structure

Summary:
- magnetization (μB per formula unit) = 0.000
- energy relative to the elements (eV per atom) = -1.231

Cell: 7.2439 7.2439 4.0858 Å, 90.00 90.00 120.00°
Space group P-62m (No. 189)
One atom of each set of equivalent atoms:
Th: 0.0000 0.5845 0.0000
Ga: 0.0000 0.2404 0.5000
Pt: 0.0000 0.0000 0.0000
Pt: 0.3333 0.6667 0.5000

=====

# 10
Compound: YAsP2
Source: Alexandria via LeMat-Bulk
Functional: meta-GGA SCAN
Structure: single point on PBEsol structure

Summary:
- magnetization (μB per formula unit) = 0.000
- energy relative to the elements (eV per atom) = -0.020

Cell: 6.698 6.698 6.698 Å, 90.00 90.00 90.00°
Space group F-43m (No. 216)
One atom of each set of equivalent atoms:
Y: 0.000 0.000 0.000
As: 0.250 0.250 0.250
P: 0.000 0.000 0.500
P: 0.250 0.250 0.750

=====

# 11
Compound: Na2Gd2B2O7
Source: Alexandria via LeMat-Bulk
Functional: meta-GGA SCAN
Structure: single point on PBEsol structure

Summary:
- formation energy without anion corrections (eV/f.u.) = -39.0
- magnetization (μB per formula unit) = 13.985

Cell: 10.633 6.282 10.264 Å, 90.00 117.69 90.00°
Space group P2_1/c (No. 14)
One atom of each set of equivalent atoms:
Na: 0.024 0.058 0.260
Na: 0.111 0.727 0.050
Gd: 0.315 0.082 0.912
Gd: 0.483 0.540 0.182
B: 0.182 0.247 0.580
B: 0.292 0.654 0.852
O: 0.101 0.167 0.943
O: 0.128 0.145 0.661
O: 0.183 0.745 0.866
O: 0.331 0.235 0.135
O: 0.349 0.741 0.272
O: 0.350 0.042 0.414
O: 0.473 0.624 0.596

=====

# 12
Compound: SrBeSe2N
Source: Alexandria via LeMat-Bulk
Functional: meta-GGA SCAN
Structure: single point on PBEsol structure

Summary:
- formation energy without anion corrections (eV/f.u.) = 5.7
- magnetization (μB per formula unit) = 3.125

Cell: 5.676 5.676 4.670 Å, 90.00 90.00 90.00°
Space group P4/mmm (No. 123)
One atom of each set of equivalent atoms:
Sr: 0.000 0.000 0.000
Be: 0.500 0.500 0.500
Se: 0.000 0.500 0.000
N: 0.000 0.000 0.500